CdTcBr2: PBEsol geometry, meta-GGA SCAN.

E = -25.53 eV per atom
ΔE_f (raw) = 0.57 eV/atom
Energy above the most stable polymorph in this dataset = 0.0614 eV/atom

Structure (POSCAR):
```
CdTcBr2
1.0
5.0240 0.0000 0.0000
0.0000 5.0240 0.0000
0.0000 0.0000 3.4319
Cd Tc Br
1 1 2
Direct
0.0000 0.0000 0.0000
0.5000 0.5000 0.0000
0.0000 0.5000 0.5000
0.5000 0.0000 0.5000
```